# 1
Density functional theory data (PBE) for a geometry-optimized Fe3Ru structure.

Summary:
- formation energy (eV per formula unit) = 0.29
- energy (eV/f.u.) = -34.4
- DOS(E_F) (states/eV per cell) = 4.11
- space group = No. 123

Cell lengths 2.893, 2.893, 5.891 Å; angles 90.00, 90.00, 90.00 degrees
Site moments in Bohr magnetons follow the coordinates.
Atoms (fractional coordinates):
Ru 0.500 0.500 0.750  0.40
Fe 0.000 0.000 0.011  2.49
Fe 0.000 0.000 0.489  2.49
Fe 0.500 0.500 0.250  2.48

# 2
Density functional theory data (PBE) for a geometry-optimized FeRu structure.

Summary:
- formation energy (eV per formula unit) = 2.39
- energy (eV/f.u.) = -15.4
- DOS(E_F) (states/eV per cell) = 2.38
- space group = No. 216

Cell lengths 3.661, 3.661, 3.661 Å; angles 60.00, 60.00, 60.00 degrees
Atoms (fractional coordinates):
Fe 0.000 0.000 0.000
Ru 0.750 0.750 0.750

# 3
Density functional theory data (PBE) for a geometry-optimized FeRu structure.

Summary:
- formation energy (eV per formula unit) = 0.37
- energy (eV/f.u.) = -17.4
- DOS(E_F) (states/eV per cell) = 18.45
- space group = No. 19

Cell lengths 4.586, 4.783, 9.307 Å; angles 90.00, 90.00, 90.00 degrees
Site moments in Bohr magnetons follow the coordinates.
Atoms (fractional coordinates):
Fe 0.344 0.824 0.553  -1.55
Fe 0.844 0.676 0.447  -1.55
Fe 0.656 0.324 0.947  -1.55
Fe 0.156 0.176 0.053  -1.55
Fe 0.347 0.543 0.327  2.12
Fe 0.847 0.957 0.673  2.12
Fe 0.653 0.043 0.173  2.12
Fe 0.153 0.457 0.827  2.12
Ru 0.663 0.178 0.436  0.09
Ru 0.163 0.322 0.564  0.09
Ru 0.337 0.678 0.064  0.09
Ru 0.837 0.822 0.936  0.09
Ru 0.152 0.032 0.308  -0.04
Ru 0.652 0.468 0.692  -0.04
Ru 0.848 0.532 0.192  -0.04
Ru 0.348 0.968 0.808  -0.04

# 4
Density functional theory data (PBE) for a geometry-optimized FeRu structure.

Summary:
- formation energy (eV per formula unit) = 0.26
- energy (eV/f.u.) = -17.5
- DOS(E_F) (states/eV per cell) = 5.45
- space group = No. 141

Cell lengths 3.668, 4.596, 3.668 Å; angles 66.48, 90.00, 113.52 degrees
Site moments in Bohr magnetons follow the coordinates.
Atoms (fractional coordinates):
Fe 0.000 0.000 0.000  2.13
Fe 0.750 0.500 0.750  2.13
Ru 0.250 0.500 0.250  -0.19
Ru 0.500 0.000 0.500  -0.19

# 5
Density functional theory data (PBE) for a geometry-optimized FeRu structure.

Summary:
- formation energy (eV per formula unit) = 0.70
- energy (eV/f.u.) = -17.0
- DOS(E_F) (states/eV per cell) = 7.76
- space group = No. 194

Cell lengths 3.984, 3.984, 7.712 Å; angles 90.00, 90.00, 120.00 degrees
Site moments in Bohr magnetons follow the coordinates.
Atoms (fractional coordinates):
Fe 0.000 0.000 0.250  2.48
Fe 0.000 0.000 0.750  2.48
Fe 0.333 0.667 0.750  0.62
Fe 0.667 0.333 0.250  0.62
Ru 0.333 0.667 0.079  0.02
Ru 0.667 0.333 0.579  0.02
Ru 0.667 0.333 0.921  0.02
Ru 0.333 0.667 0.421  0.02

# 6
Density functional theory data (PBE) for a geometry-optimized Fe3Ru4 structure.

Summary:
- formation energy (eV per formula unit) = 2.06
- energy (eV/f.u.) = -60.4
- distance to the lowest polymorph of the same formula (eV/atom) = 0.0917
- DOS(E_F) (states/eV per cell) = 6.49
- space group = No. 139

Cell lengths 12.772, 12.772, 12.772 Å; angles 167.58, 167.58, 17.60 degrees
Site moments in Bohr magnetons follow the coordinates.
Atoms (fractional coordinates):
Fe 0.000 0.000 0.000  2.49
Fe 0.441 0.441 0.000  1.96
Fe 0.559 0.559 0.000  1.96
Ru 0.122 0.122 0.000  -0.17
Ru 0.217 0.217 0.000  -0.09
Ru 0.783 0.783 0.000  -0.09
Ru 0.878 0.878 0.000  -0.17

# 7
Density functional theory data (PBE) for a geometry-optimized Fe3Ru2 structure.

Summary:
- formation energy (eV per formula unit) = 0.92
- energy (eV/f.u.) = -43.0
- DOS(E_F) (states/eV per cell) = 6.42
- space group = No. 166

Cell lengths 10.724, 10.724, 10.724 Å; angles 14.09, 14.09, 14.09 degrees
Site moments in Bohr magnetons follow the coordinates.
Atoms (fractional coordinates):
Fe 0.000 0.000 0.000  2.08
Fe 0.801 0.801 0.801  2.41
Fe 0.199 0.199 0.199  2.41
Ru 0.599 0.599 0.599  -0.04
Ru 0.401 0.401 0.401  -0.04

# 8
Density functional theory data (PBE) for a geometry-optimized Fe5Ru structure.

Summary:
- formation energy (eV per formula unit) = 0.76
- energy (eV/f.u.) = -50.8
- distance to the lowest polymorph of the same formula (eV/atom) = 0.0240
- DOS(E_F) (states/eV per cell) = 8.47
- space group = No. 8

Cell lengths 4.700, 4.700, 5.877 Å; angles 76.92, 76.92, 31.31 degrees
Atoms (fractional coordinates):
Fe 0.002 0.002 0.005
Fe 0.608 0.608 0.283
Fe 0.333 0.333 0.339
Fe 0.947 0.947 0.605
Fe 0.664 0.664 0.659
Ru 0.279 0.279 0.942

# 9
Density functional theory data (PBE) for a geometry-optimized Fe3Ru structure.

Summary:
- formation energy (eV per formula unit) = 0.66
- energy (eV/f.u.) = -34.0
- DOS(E_F) (states/eV per cell) = 4.54
- space group = No. 166

Cell lengths 2.663, 8.247, 2.663 Å; angles 99.29, 60.00, 99.29 degrees
Site moments in Bohr magnetons follow the coordinates.
Atoms (fractional coordinates):
Fe 0.997 0.991 0.997  2.35
Fe 0.250 0.750 0.250  2.55
Fe 0.503 0.509 0.503  2.35
Ru 0.750 0.250 0.750  -0.20

# 10
Density functional theory data (PBE) for a geometry-optimized Fe3Ru structure.

Summary:
- formation energy (eV per formula unit) = 0.47
- energy (eV/f.u.) = -34.2
- DOS(E_F) (states/eV per cell) = 3.79
- space group = No. 166

Cell lengths 2.538, 4.853, 4.853 Å; angles 117.03, 79.96, 79.96 degrees
Site moments in Bohr magnetons follow the coordinates.
Atoms (fractional coordinates):
Fe 0.000 0.000 0.000  2.60
Fe 0.500 0.000 0.500  2.60
Fe 0.500 0.500 0.000  2.60
Ru 0.000 0.500 0.500  0.55

# 11
Density functional theory data (PBE) for a geometry-optimized Fe3Ru structure.

Summary:
- formation energy (eV per formula unit) = 0.32
- energy (eV/f.u.) = -34.3
- DOS(E_F) (states/eV per cell) = 3.32
- space group = No. 71

Cell lengths 4.154, 4.838, 2.898 Å; angles 72.57, 90.00, 64.57 degrees
Site moments in Bohr magnetons follow the coordinates.
Atoms (fractional coordinates):
Ru 0.250 0.500 0.750  0.60
Fe 0.996 0.008 0.996  2.51
Fe 0.750 0.500 0.250  2.53
Fe 0.504 0.992 0.504  2.51

# 12
Density functional theory data (PBE) for a geometry-optimized Fe4Ru5 structure.

Summary:
- formation energy (eV per formula unit) = 1.30
- energy (eV/f.u.) = -78.9
- distance to the lowest polymorph of the same formula (eV/atom) = 0.0000
- DOS(E_F) (states/eV per cell) = 11.55
- space group = No. 139

Cell lengths 5.892, 5.892, 5.892 Å; angles 95.74, 95.74, 143.14 degrees
Site moments in Bohr magnetons follow the coordinates.
Atoms (fractional coordinates):
Fe 0.667 0.000 0.667  2.08
Fe 0.333 0.000 0.333  2.08
Fe 0.000 0.667 0.667  2.08
Fe 0.000 0.333 0.333  2.08
Ru 0.000 0.000 0.000  -0.34
Ru 0.668 0.668 0.335  -0.27
Ru 0.332 0.668 0.000  -0.27
Ru 0.668 0.332 0.000  -0.27
Ru 0.332 0.332 0.665  -0.27